## NiPPdO2 (GGA+U)

Data for NiPPdO2 after structural relaxation.

Summary:
raw total energy = -20.65 eV for the cell shown
size of the total moment = 3.0 Bohr magnetons per cell
N(E_F) = 4.85 states/eV/f.u.

```
data_NiPPdO2
_symmetry_space_group_name_H-M 'P 4/m m m'
_symmetry_Int_Tables_number 123
_symmetry_space_group_name_Hall '-P 4 2'
_cell_length_a 3.8269
_cell_length_b 3.8269
_cell_length_c 5.1066
_cell_angle_alpha 90.00
_cell_angle_beta 90.00
_cell_angle_gamma 90.00
loop_
_atom_site_label
_atom_site_type_symbol
_atom_site_fract_x
_atom_site_fract_y
_atom_site_fract_z
Ni1 Ni 0.0000 0.0000 0.0000
P1 P 0.5000 0.5000 0.0000
Pd1 Pd 0.5000 0.5000 0.5000
O1 O 0.0000 0.5000 0.5000
```